Computed, not measured: a relaxed KFeTe2O6 crystal at the GGA+U level of DFT.

Cell and atoms, written as CIF:
```
data_KFeTe2O6
_chemical_formula_sum 'K2 Fe2 Te4 O12'
_space_group_name_H-M_alt 'P 1'
_space_group_IT_number 1
_cell_length_a 6.845
_cell_length_b 7.052
_cell_length_c 7.052
_cell_angle_alpha 89.55
_cell_angle_beta 79.09
_cell_angle_gamma 79.09
loop_
_space_group_symop_operation_xyz
'x,y,z'
loop_
_atom_site_label
_atom_site_fract_x
_atom_site_fract_y
_atom_site_fract_z
_atom_site_occupancy
O1 0.055 0.633 0.233 1
O2 0.263 0.273 0.993 1
O3 0.555 0.233 0.633 1
O4 0.763 0.993 0.273 1
Te1 0.793 0.193 0.437 1
O5 0.773 0.719 0.592 1
O6 0.227 0.281 0.408 1
O7 0.727 0.408 0.281 1
O8 0.273 0.592 0.719 1
K1 0.750 0.081 0.919 1
O9 0.945 0.367 0.767 1
Te2 0.207 0.807 0.563 1
Fe1 0.750 0.699 0.301 1
O10 0.237 0.007 0.727 1
Fe2 0.250 0.301 0.699 1
K2 0.250 0.919 0.081 1
Te3 0.293 0.437 0.193 1
O11 0.737 0.727 0.007 1
O12 0.445 0.767 0.367 1
Te4 0.707 0.563 0.807 1
```

Its energy is -0.405 Ry/atom.

---

Computed, not measured: a relaxed K2TiFeO4 crystal at the GGA+U level of DFT.

Cell and atoms, written as CIF:
```
data_K2TiFeO4
_chemical_formula_sum 'K4 Ti2 Fe2 O8'
_space_group_name_H-M_alt 'P 1'
_space_group_IT_number 1
_cell_length_a 5.213
_cell_length_b 6.570
_cell_length_c 10.241
_cell_angle_alpha 84.20
_cell_angle_beta 75.25
_cell_angle_gamma 66.62
loop_
_space_group_symop_operation_xyz
'x,y,z'
loop_
_atom_site_label
_atom_site_fract_x
_atom_site_fract_y
_atom_site_fract_z
_atom_site_occupancy
Ti1 0.750 0.500 0.500 1
Ti2 0.000 0.000 0.000 1
K1 0.927 0.500 0.147 1
K2 0.823 0.000 0.353 1
O1 0.256 0.828 0.100 1
Fe1 0.500 0.000 0.000 1
O2 0.494 0.672 0.400 1
O3 0.566 0.328 0.600 1
K3 0.177 0.000 0.647 1
O4 0.106 0.328 0.400 1
Fe2 0.250 0.500 0.500 1
O5 0.644 0.172 0.100 1
O6 0.834 0.672 0.600 1
O7 0.184 0.172 0.900 1
O8 0.916 0.828 0.900 1
K4 0.573 0.500 0.853 1
```

Its energy is -0.473 Ry/atom.

---

Computed, not measured: a relaxed KTi2Fe2O7 crystal at the GGA+U level of DFT.

Cell and atoms, written as CIF:
```
data_KTi2Fe2O7
_chemical_formula_sum 'K1 Ti2 Fe2 O7'
_space_group_name_H-M_alt 'P 1'
_space_group_IT_number 1
_cell_length_a 3.990
_cell_length_b 4.309
_cell_length_c 8.886
_cell_angle_alpha 104.03
_cell_angle_beta 102.97
_cell_angle_gamma 90.00
loop_
_space_group_symop_operation_xyz
'x,y,z'
loop_
_atom_site_label
_atom_site_fract_x
_atom_site_fract_y
_atom_site_fract_z
_atom_site_occupancy
O1 0.873 0.364 0.747 1
Ti1 0.389 0.441 0.777 1
O2 0.500 0.505 0.000 1
O3 0.625 0.090 0.251 1
Fe1 0.251 0.741 0.502 1
Ti2 0.611 0.664 0.223 1
O4 0.266 0.247 0.532 1
Fe2 0.749 0.239 0.498 1
K1 0.000 0.038 0.000 1
O5 0.734 0.714 0.468 1
O6 0.375 0.839 0.749 1
O7 0.127 0.618 0.253 1
```

Its energy is -0.550 Ry/atom.

---

Computed, not measured: a relaxed KTi3FeO8 crystal at the GGA+U level of DFT.

Cell and atoms, written as CIF:
```
data_KTi3FeO8
_chemical_formula_sum 'K1 Ti3 Fe1 O8'
_space_group_name_H-M_alt 'P 1'
_space_group_IT_number 1
_cell_length_a 7.339
_cell_length_b 7.339
_cell_length_c 10.199
_cell_angle_alpha 46.67
_cell_angle_beta 46.67
_cell_angle_gamma 23.64
loop_
_space_group_symop_operation_xyz
'x,y,z'
loop_
_atom_site_label
_atom_site_fract_x
_atom_site_fract_y
_atom_site_fract_z
_atom_site_occupancy
O1 0.658 0.658 0.040 1
K1 0.003 0.003 0.999 1
O2 0.294 0.294 0.362 1
O3 0.955 0.955 0.378 1
O4 0.667 0.667 0.296 1
O5 0.352 0.352 0.944 1
O6 0.041 0.041 0.625 1
Ti1 0.663 0.663 0.483 1
O7 0.335 0.335 0.706 1
Ti2 0.844 0.844 0.826 1
O8 0.704 0.704 0.642 1
Fe1 0.150 0.150 0.185 1
Ti3 0.334 0.334 0.515 1
```

Its energy is -0.588 Ry/atom.

---

Computed, not measured: a relaxed K3Tl2FeO6 crystal at the GGA+U level of DFT.

Cell and atoms, written as CIF:
```
data_K3Tl2FeO6
_chemical_formula_sum 'K3 Tl2 Fe1 O6'
_space_group_name_H-M_alt 'P 1'
_space_group_IT_number 1
_cell_length_a 5.828
_cell_length_b 5.828
_cell_length_c 6.392
_cell_angle_alpha 98.80
_cell_angle_beta 98.80
_cell_angle_gamma 119.97
loop_
_space_group_symop_operation_xyz
'x,y,z'
loop_
_atom_site_label
_atom_site_fract_x
_atom_site_fract_y
_atom_site_fract_z
_atom_site_occupancy
O1 0.061 0.356 0.183 1
O2 0.356 0.061 0.183 1
O3 0.767 0.767 0.184 1
K1 0.168 0.832 0.500 1
K2 0.832 0.168 0.500 1
Tl1 0.333 0.667 0.000 1
O4 0.233 0.233 0.816 1
K3 0.500 0.500 0.500 1
Fe1 0.000 0.000 0.000 1
O5 0.939 0.644 0.817 1
Tl2 0.667 0.333 0.000 1
O6 0.644 0.939 0.817 1
```

Its energy is -0.341 Ry/atom.

---

Computed, not measured: a relaxed K2TlFeO4 crystal at the GGA+U level of DFT.

Cell and atoms, written as CIF:
```
data_K2TlFeO4
_chemical_formula_sum 'K2 Tl1 Fe1 O4'
_space_group_name_H-M_alt 'P 1'
_space_group_IT_number 1
_cell_length_a 5.887
_cell_length_b 5.887
_cell_length_c 5.887
_cell_angle_alpha 91.76
_cell_angle_beta 118.99
_cell_angle_gamma 118.99
loop_
_space_group_symop_operation_xyz
'x,y,z'
loop_
_atom_site_label
_atom_site_fract_x
_atom_site_fract_y
_atom_site_fract_z
_atom_site_occupancy
K1 0.500 0.750 0.250 1
O1 0.385 0.843 0.776 1
Fe1 0.000 0.500 0.500 1
Tl1 0.500 0.250 0.750 1
O2 0.068 0.224 0.610 1
O3 0.932 0.542 0.157 1
K2 0.000 0.000 0.000 1
O4 0.615 0.390 0.458 1
```

Its energy is -0.369 Ry/atom.

---

Computed, not measured: a relaxed KTmFeO3 crystal at the GGA+U level of DFT.

Cell and atoms, written as CIF:
```
data_KTmFeO3
_chemical_formula_sum 'K2 Tm2 Fe2 O6'
_space_group_name_H-M_alt 'P 1'
_space_group_IT_number 1
_cell_length_a 3.451
_cell_length_b 6.721
_cell_length_c 11.302
_cell_angle_alpha 123.56
_cell_angle_beta 90.00
_cell_angle_gamma 90.00
loop_
_space_group_symop_operation_xyz
'x,y,z'
loop_
_atom_site_label
_atom_site_fract_x
_atom_site_fract_y
_atom_site_fract_z
_atom_site_occupancy
Fe1 0.750 0.985 0.399 1
O1 0.750 0.202 0.622 1
Tm1 0.750 0.289 0.860 1
O2 0.250 0.542 0.912 1
K1 0.250 0.308 0.224 1
O3 0.250 0.017 0.777 1
Fe2 0.250 0.015 0.601 1
K2 0.750 0.692 0.776 1
O4 0.750 0.983 0.223 1
Tm2 0.250 0.711 0.140 1
O5 0.750 0.458 0.088 1
O6 0.250 0.798 0.378 1
```

Its energy is -0.483 Ry/atom.

---

Computed, not measured: a relaxed KUFe2O8 crystal at the GGA+U level of DFT.

Cell and atoms, written as CIF:
```
data_KUFe2O8
_chemical_formula_sum 'K1 U1 Fe2 O8'
_space_group_name_H-M_alt 'P 1'
_space_group_IT_number 1
_cell_length_a 5.834
_cell_length_b 5.834
_cell_length_c 7.571
_cell_angle_alpha 90.00
_cell_angle_beta 90.00
_cell_angle_gamma 120.00
loop_
_space_group_symop_operation_xyz
'x,y,z'
loop_
_atom_site_label
_atom_site_fract_x
_atom_site_fract_y
_atom_site_fract_z
_atom_site_occupancy
O1 0.667 0.333 0.036 1
O2 0.678 0.835 0.666 1
U1 0.000 0.000 0.500 1
O3 0.157 0.322 0.666 1
O4 0.843 0.678 0.334 1
K1 0.000 0.000 0.000 1
Fe1 0.667 0.333 0.257 1
O5 0.333 0.667 0.964 1
O6 0.835 0.157 0.334 1
O7 0.322 0.165 0.334 1
Fe2 0.333 0.667 0.743 1
O8 0.165 0.843 0.666 1
```

Its energy is -0.505 Ry/atom.

---

Computed, not measured: a relaxed K3UFe2O9 crystal at the GGA+U level of DFT.

Cell and atoms, written as CIF:
```
data_K3UFe2O9
_chemical_formula_sum 'K3 U1 Fe2 O9'
_space_group_name_H-M_alt 'P 1'
_space_group_IT_number 1
_cell_length_a 5.717
_cell_length_b 5.717
_cell_length_c 7.065
_cell_angle_alpha 90.00
_cell_angle_beta 90.00
_cell_angle_gamma 120.00
loop_
_space_group_symop_operation_xyz
'x,y,z'
loop_
_atom_site_label
_atom_site_fract_x
_atom_site_fract_y
_atom_site_fract_z
_atom_site_occupancy
K1 0.333 0.667 0.676 1
O1 0.831 0.662 0.671 1
O2 0.831 0.169 0.671 1
O3 0.169 0.338 0.329 1
Fe1 0.333 0.667 0.157 1
K2 0.667 0.333 0.324 1
O4 0.000 0.500 0.000 1
U1 0.000 0.000 0.500 1
O5 0.500 0.500 0.000 1
O6 0.338 0.169 0.671 1
Fe2 0.667 0.333 0.843 1
O7 0.500 0.000 0.000 1
O8 0.169 0.831 0.329 1
O9 0.662 0.831 0.329 1
K3 0.000 0.000 0.000 1
```

Its energy is -0.474 Ry/atom.

---

Computed, not measured: a relaxed KUFe2O6 crystal at the GGA+U level of DFT.

Cell and atoms, written as CIF:
```
data_KUFe2O6
_chemical_formula_sum 'K2 U2 Fe4 O12'
_space_group_name_H-M_alt 'P 1'
_space_group_IT_number 1
_cell_length_a 6.521
_cell_length_b 7.490
_cell_length_c 7.490
_cell_angle_alpha 87.05
_cell_angle_beta 76.66
_cell_angle_gamma 76.66
loop_
_space_group_symop_operation_xyz
'x,y,z'
loop_
_atom_site_label
_atom_site_fract_x
_atom_site_fract_y
_atom_site_fract_z
_atom_site_occupancy
U1 0.750 0.716 0.284 1
O1 0.231 0.005 0.738 1
O2 0.813 0.407 0.285 1
U2 0.250 0.284 0.716 1
O3 0.070 0.644 0.232 1
Fe1 0.140 0.373 0.230 1
O4 0.570 0.232 0.644 1
Fe2 0.860 0.627 0.770 1
O5 0.187 0.593 0.715 1
O6 0.313 0.285 0.407 1
Fe3 0.360 0.770 0.627 1
K1 0.750 0.093 0.907 1
K2 0.250 0.907 0.093 1
O7 0.731 0.738 0.005 1
O8 0.687 0.715 0.593 1
O9 0.930 0.356 0.768 1
O10 0.430 0.768 0.356 1
Fe4 0.640 0.230 0.373 1
O11 0.269 0.262 0.995 1
O12 0.769 0.995 0.262 1
```

Its energy is -0.546 Ry/atom.

---

Computed, not measured: a relaxed K2FeW3O12 crystal at the GGA+U level of DFT.

Cell and atoms, written as CIF:
```
data_K2FeW3O12
_chemical_formula_sum 'K2 Fe1 W3 O12'
_space_group_name_H-M_alt 'P 1'
_space_group_IT_number 1
_cell_length_a 7.161
_cell_length_b 7.161
_cell_length_c 7.161
_cell_angle_alpha 61.71
_cell_angle_beta 61.71
_cell_angle_gamma 61.71
loop_
_space_group_symop_operation_xyz
'x,y,z'
loop_
_atom_site_label
_atom_site_fract_x
_atom_site_fract_y
_atom_site_fract_z
_atom_site_occupancy
O1 0.683 0.683 0.057 1
O2 0.939 0.308 0.939 1
O3 0.943 0.317 0.317 1
O4 0.061 0.692 0.061 1
O5 0.939 0.939 0.308 1
Fe1 0.000 0.000 0.000 1
O6 0.692 0.061 0.061 1
O7 0.317 0.943 0.317 1
W1 0.000 0.500 0.000 1
O8 0.317 0.317 0.943 1
W2 0.000 0.000 0.500 1
K1 0.360 0.360 0.360 1
O9 0.683 0.057 0.683 1
W3 0.500 0.000 0.000 1
O10 0.308 0.939 0.939 1
K2 0.640 0.640 0.640 1
O11 0.061 0.061 0.692 1
O12 0.057 0.683 0.683 1
```

Its energy is -0.498 Ry/atom.

---

Computed, not measured: a relaxed KYFeO3 crystal at the GGA+U level of DFT.

Cell and atoms, written as CIF:
```
data_KYFeO3
_chemical_formula_sum 'K2 Y2 Fe2 O6'
_space_group_name_H-M_alt 'P 1'
_space_group_IT_number 1
_cell_length_a 3.638
_cell_length_b 7.318
_cell_length_c 9.449
_cell_angle_alpha 111.53
_cell_angle_beta 90.00
_cell_angle_gamma 90.00
loop_
_space_group_symop_operation_xyz
'x,y,z'
loop_
_atom_site_label
_atom_site_fract_x
_atom_site_fract_y
_atom_site_fract_z
_atom_site_occupancy
Y1 0.750 0.324 0.863 1
O1 0.750 0.466 0.117 1
Fe1 0.250 0.024 0.625 1
O2 0.750 0.888 0.151 1
Y2 0.250 0.676 0.137 1
O3 0.250 0.112 0.849 1
O4 0.250 0.911 0.390 1
K1 0.250 0.195 0.164 1
Fe2 0.750 0.976 0.375 1
O5 0.250 0.534 0.883 1
O6 0.750 0.089 0.610 1
K2 0.750 0.805 0.836 1
```

Its energy is -0.489 Ry/atom.

---

Computed, not measured: a relaxed K4Y3FeO8 crystal at the GGA+U level of DFT.

Cell and atoms, written as CIF:
```
data_K4Y3FeO8
_chemical_formula_sum 'K4 Y3 Fe1 O8'
_space_group_name_H-M_alt 'P 1'
_space_group_IT_number 1
_cell_length_a 6.811
_cell_length_b 7.370
_cell_length_c 6.812
_cell_angle_alpha 117.54
_cell_angle_beta 120.00
_cell_angle_gamma 90.00
loop_
_space_group_symop_operation_xyz
'x,y,z'
loop_
_atom_site_label
_atom_site_fract_x
_atom_site_fract_y
_atom_site_fract_z
_atom_site_occupancy
K1 0.500 0.000 0.000 1
O1 0.729 0.687 0.458 1
Y1 0.500 0.500 0.000 1
Fe1 0.000 0.500 0.000 1
O2 0.255 0.318 0.036 1
Y2 0.500 0.500 0.500 1
O3 0.219 0.683 0.438 1
K2 0.000 0.000 0.500 1
O4 0.271 0.313 0.542 1
O5 0.781 0.318 0.036 1
O6 0.745 0.682 0.964 1
O7 0.219 0.682 0.964 1
O8 0.781 0.317 0.562 1
K3 0.000 0.000 0.000 1
K4 0.500 0.000 0.500 1
Y3 0.000 0.500 0.500 1
```

Its energy is -0.493 Ry/atom.

---

Computed, not measured: a relaxed K2ZnFeO4 crystal at the GGA+U level of DFT.

Cell and atoms, written as CIF:
```
data_K2ZnFeO4
_chemical_formula_sum 'K4 Zn2 Fe2 O8'
_space_group_name_H-M_alt 'P 1'
_space_group_IT_number 1
_cell_length_a 5.239
_cell_length_b 6.603
_cell_length_c 9.887
_cell_angle_alpha 83.97
_cell_angle_beta 74.64
_cell_angle_gamma 66.62
loop_
_space_group_symop_operation_xyz
'x,y,z'
loop_
_atom_site_label
_atom_site_fract_x
_atom_site_fract_y
_atom_site_fract_z
_atom_site_occupancy
O1 0.215 0.190 0.919 1
Fe1 0.250 0.500 0.500 1
K1 0.932 0.500 0.136 1
O2 0.595 0.190 0.081 1
K2 0.182 0.000 0.636 1
Zn1 0.000 0.000 0.000 1
O3 0.426 0.690 0.419 1
O4 0.155 0.310 0.419 1
O5 0.883 0.690 0.581 1
O6 0.324 0.810 0.081 1
Fe2 0.500 0.000 0.000 1
Zn2 0.750 0.500 0.500 1
O7 0.867 0.810 0.919 1
K3 0.568 0.500 0.864 1
K4 0.818 0.000 0.364 1
O8 0.535 0.310 0.581 1
```

Its energy is -0.357 Ry/atom.

---

Computed, not measured: a relaxed K2ZrFe2O6 crystal at the GGA+U level of DFT.

Cell and atoms, written as CIF:
```
data_K2ZrFe2O6
_chemical_formula_sum 'K2 Zr1 Fe2 O6'
_space_group_name_H-M_alt 'P 1'
_space_group_IT_number 1
_cell_length_a 6.020
_cell_length_b 6.021
_cell_length_c 6.671
_cell_angle_alpha 116.90
_cell_angle_beta 90.00
_cell_angle_gamma 119.99
loop_
_space_group_symop_operation_xyz
'x,y,z'
loop_
_atom_site_label
_atom_site_fract_x
_atom_site_fract_y
_atom_site_fract_z
_atom_site_occupancy
O1 0.746 0.010 0.272 1
K1 0.713 0.427 0.140 1
O2 0.254 0.990 0.728 1
O3 0.263 0.527 0.270 1
O4 0.264 0.010 0.272 1
O5 0.737 0.473 0.730 1
Fe1 0.921 0.842 0.765 1
Zr1 0.500 0.000 0.500 1
K2 0.287 0.573 0.860 1
O6 0.736 0.990 0.728 1
Fe2 0.079 0.158 0.235 1
```

Its energy is -0.480 Ry/atom.